(1)
# Ca2ZrTiAs4 | Alexandria | PBE | relaxed
data_Ca2ZrTiAs4
_space_group_name_H-M_alt 'P 1'
_space_group_IT_number 1
_space_group_name_Hall 'P 1'
_cell_length_a 6.739
_cell_length_b 3.906
_cell_length_c 7.161
_cell_angle_alpha 90.00
_cell_angle_beta 108.34
_cell_angle_gamma 90.00
loop_
_atom_site_label
_atom_site_type_symbol
_atom_site_fract_x
_atom_site_fract_y
_atom_site_fract_z
_atom_site_occupancy
Ca1 Ca 0.000 0.000 0.000 1
Ca2 Ca 0.500 0.500 0.000 1
Zr1 Zr 0.000 0.500 0.500 1
Ti1 Ti 0.500 0.000 0.500 1
As1 As 0.250 0.000 0.723 1
As2 As 0.270 0.500 0.283 1
As3 As 0.730 0.500 0.717 1
As4 As 0.750 0.000 0.277 1
# Magnetization = 0.0 μB/cell
# DFT formation energy = -1.076 eV per atom
# DOS at the Fermi energy = 1.4 states/eV/cell
# Total energy = -5.957 eV/atom
# Space-group type = P2/m, No. 10



(2)
# CaTl2As | Alexandria | PBE | relaxed
data_CaTl2As
_space_group_name_H-M_alt 'P 1'
_space_group_IT_number 1
_space_group_name_Hall 'P 1'
_cell_length_a 6.725
_cell_length_b 6.725
_cell_length_c 6.725
_cell_angle_alpha 145.84
_cell_angle_beta 138.96
_cell_angle_gamma 54.43
loop_
_atom_site_label
_atom_site_type_symbol
_atom_site_fract_x
_atom_site_fract_y
_atom_site_fract_z
_atom_site_occupancy
Ca1 Ca 0.000 0.000 0.000 1
Tl1 Tl 0.292 0.792 0.500 1
Tl2 Tl 0.708 0.208 0.500 1
As1 As 0.500 0.500 0.000 1
# Excess energy over the best structure of this formula in the dataset = 30.3 meV/atom
# Magnetization = 0.0 μB/cell
# DFT formation energy = -0.389 eV per atom
# DOS at the Fermi energy = 2.0 states/eV/cell
# Total energy = -3.235 eV/atom
# Space-group type = Immm, No. 71



- total energy of number 2 (CaTl2As)?
  -3.235 eV/atom



- What is the formula in the first record?
  Ca2ZrTiAs4



Repeat the first record exactly.
# Ca2ZrTiAs4 | Alexandria | PBE | relaxed
data_Ca2ZrTiAs4
_space_group_name_H-M_alt 'P 1'
_space_group_IT_number 1
_space_group_name_Hall 'P 1'
_cell_length_a 6.739
_cell_length_b 3.906
_cell_length_c 7.161
_cell_angle_alpha 90.00
_cell_angle_beta 108.34
_cell_angle_gamma 90.00
loop_
_atom_site_label
_atom_site_type_symbol
_atom_site_fract_x
_atom_site_fract_y
_atom_site_fract_z
_atom_site_occupancy
Ca1 Ca 0.000 0.000 0.000 1
Ca2 Ca 0.500 0.500 0.000 1
Zr1 Zr 0.000 0.500 0.500 1
Ti1 Ti 0.500 0.000 0.500 1
As1 As 0.250 0.000 0.723 1
As2 As 0.270 0.500 0.283 1
As3 As 0.730 0.500 0.717 1
As4 As 0.750 0.000 0.277 1
# Magnetization = 0.0 μB/cell
# DFT formation energy = -1.076 eV per atom
# DOS at the Fermi energy = 1.4 states/eV/cell
# Total energy = -5.957 eV/atom
# Space-group type = P2/m, No. 10



- What is the total energy in the first record?
  -5.957 eV/atom